(1)
A plane-wave DFT calculation with PBE-GGA was carried out for a geometry-optimized YBeReTe structure.

The space group is F-43m (No. 216) and the conventional cell measures 6.651, 6.651 and 6.651 Å, with angles of 90.00, 90.00 and 90.00 degrees. Symmetry generates all atoms from Y at (0.000, 0.000, 0.000), Be at (0.250, 0.250, 0.250), Re at (0.250, 0.250, 0.750) and Te at (0.000, 0.000, 0.500).

The relative energy among the computed polymorphs is 0.2174 eV/atom. For the total moment, the calculation gives 0.01 μB per cell.



(2)
A plane-wave DFT calculation with PBE-GGA was carried out for a geometry-optimized Rb2ZnHg structure.

The space group is P-1 (No. 2) and the conventional cell measures 6.795, 6.963 and 7.452 Å, with angles of 103.66, 104.28 and 93.38 degrees. Symmetry generates all atoms from Rb at (0.161, 0.246, 0.474), Rb at (0.293, 0.659, 0.149), Zn at (0.194, 0.084, 0.968) and Hg at (0.410, 0.824, 0.746).



(3)
A plane-wave DFT calculation with PBE-GGA was carried out for a geometry-optimized PtWAu2 structure.

The space group is F-43m (No. 216) and the conventional cell measures 6.442, 6.442 and 6.442 Å, with angles of 90.00, 90.00 and 90.00 degrees. Symmetry generates all atoms from Pt at (0.000, 0.000, 0.000), W at (0.250, 0.250, 0.250), Au at (0.000, 0.000, 0.500) and Au at (0.250, 0.250, 0.750).

The relative energy among the computed polymorphs is 0.0000 eV/atom. For the total moment, the calculation gives 0.01 μB per cell. The calculation puts the energy of formation from the pure elements at 0.323 eV per atom.



| no. | total DFT energy (no corrections) (eV per atom) |
| --- | --- |
| 1 | -5.935 |
| 2 | -0.938 |
| 3 | -6.064 |